#one
This record from Alexandria via LeMat-Bulk describes an optimized crystal structure of LiTe2MoN. The functional is GGA-PBE.

Output
The calculation puts the density of states at the Fermi level at 3.80 states/eV/f.u.

Unit cell a=5.1051 b=5.1051 c=3.4780 alpha=90.00 beta=90.00 gamma=90.00
Fractional coordinates of all 5 atoms:
1 Li 0.0000 0.0000 0.0000
2 Te 0.0000 0.5000 0.0000
3 Te 0.5000 0.0000 0.0000
4 Mo 0.5000 0.5000 0.5000
5 N 0.0000 0.0000 0.5000

---

#two
This record from Alexandria via LeMat-Bulk describes an optimized crystal structure of LiTe2MoN. The functional is GGA-PBE.

Output
The calculation puts the density of states at the Fermi level at 4.28 states/eV/f.u.

Unit cell a=5.5078 b=5.5078 c=3.8124 alpha=90.00 beta=90.00 gamma=90.00
Fractional coordinates of all 5 atoms:
1 Li 0.0000 0.0000 0.0000
2 Te 0.0000 0.5000 0.5000
3 Te 0.5000 0.0000 0.5000
4 Mo 0.5000 0.5000 0.5000
5 N 0.5000 0.5000 0.0000

---

Stability, highest: #two